1.
LiBe2Zn | PBE-GGA | relaxed

Structure (POSCAR):
```
LiBe2Zn
1.0
-2.114 2.109 -2.517
-3.259 -1.592 1.447
2.513 1.788 2.395
Be Li Zn
2 1 1
direct
0.000 0.000 0.000
0.250 0.750 0.500
0.500 0.500 0.000
0.750 0.250 0.500
```

* formation enthalpy at 0 K: 75 meV per atom
* DOS at the Fermi energy: 0.101 states/eV per atom
* space group: I-4m2 (119)
* final energy: -10.34 eV/f.u.

2.
Li2BeZn | PBE-GGA | relaxed

Structure (POSCAR):
```
Li2BeZn
1.0
9.170 0.017 0.010
8.799 2.582 0.010
8.799 1.273 2.246
Be Li Zn
1 2 1
direct
0.750 0.750 0.750
0.003 0.003 0.003
0.497 0.497 0.497
0.250 0.250 0.250
```

* formation enthalpy at 0 K: 111 meV per atom
* DOS at the Fermi energy: 0.478 states/eV per atom
* E above lowest polymorph: 0.093 eV per atom
* space group: R-3m (166)
* final energy: -8.38 eV/f.u.

3.
LiBe2Zn | PBE-GGA | relaxed

Structure (POSCAR):
```
LiBe2Zn
1.0
4.621 0.031 0.036
2.090 4.122 -0.036
-2.934 -2.758 2.269
Be Li Zn
2 1 1
direct
0.007 0.007 0.000
0.493 0.493 0.000
0.750 0.250 0.500
0.250 0.750 0.500
```

* formation enthalpy at 0 K: 127 meV per atom
* DOS at the Fermi energy: 0.150 states/eV per atom
* space group: Immm (71)
* final energy: -10.13 eV/f.u.

4.
LiBe2Zn | PBE-GGA | relaxed

Structure (POSCAR):
```
LiBe2Zn
1.0
4.797 0.042 0.065
4.081 2.522 0.065
1.769 0.511 3.669
Be Li Zn
2 1 1
direct
0.986 0.986 0.014
0.275 0.275 0.225
0.508 0.508 0.493
0.731 0.731 0.768
```

* formation enthalpy at 0 K: 111 meV per atom
* DOS at the Fermi energy: 0.197 states/eV per atom
* space group: Cm (8)
* final energy: -10.20 eV/f.u.

5.
LiBe2Zn | PBE-GGA | relaxed

Structure (POSCAR):
```
LiBe2Zn
1.0
2.405 0.000 0.000
0.000 3.670 0.000
0.000 0.000 4.958
Be Li Zn
2 1 1
direct
0.000 0.000 0.997
0.000 0.000 0.503
0.500 0.500 0.250
0.500 0.500 0.750
```

* formation enthalpy at 0 K: 177 meV per atom
* DOS at the Fermi energy: 0.278 states/eV per atom
* space group: Pmmm (47)
* final energy: -9.93 eV/f.u.

6.
LiBeZn3 | PBE-GGA | relaxed

Structure (POSCAR):
```
LiBeZn3
1.0
4.318 0.000 0.000
0.000 4.318 0.000
0.000 0.000 4.318
Be Zn Li
1 3 1
direct
0.000 0.000 0.000
0.000 0.500 0.000
0.000 0.000 0.500
0.500 0.000 0.000
0.500 0.500 0.500
```

* formation enthalpy at 0 K: 124 meV per atom
* DOS at the Fermi energy: 0.203 states/eV per atom
* E above lowest polymorph: 0.000 eV per atom
* space group: Pm-3m (221)
* final energy: -8.84 eV/f.u.

7.
Li2BeZn | PBE-GGA | relaxed

Structure (POSCAR):
```
Li2BeZn
1.0
-1.048 -2.604 -0.774
3.509 -0.902 -1.715
1.409 -1.687 3.771
Be Li Zn
1 2 1
direct
0.000 0.500 0.500
0.000 0.000 0.000
0.500 0.500 0.000
0.500 0.000 0.500
```

* formation enthalpy at 0 K: 80 meV per atom
* DOS at the Fermi energy: 0.428 states/eV per atom
* E above lowest polymorph: 0.061 eV per atom
* space group: Pmmm (47)
* final energy: -8.51 eV/f.u.

8.
Li2BeZn | PBE-GGA | relaxed

Structure (POSCAR):
```
Li2BeZn
1.0
-3.613 -0.582 3.433
0.703 -3.668 -2.703
1.195 -1.527 1.686
Be Li Zn
1 2 1
direct
0.500 0.000 0.500
0.000 0.000 0.000
0.000 0.500 0.500
0.500 0.500 0.000
```

* formation enthalpy at 0 K: 87 meV per atom
* DOS at the Fermi energy: 0.337 states/eV per atom
* E above lowest polymorph: 0.068 eV per atom
* space group: C2/m (12)
* final energy: -8.48 eV/f.u.

9.
Li2BeZn2 | PBE-GGA | relaxed

Structure (POSCAR):
```
Li2BeZn2
1.0
-4.982 3.452 -0.615
-0.444 -1.682 -5.839
-2.326 -3.164 1.088
Be Zn Li
2 4 4
direct
0.000 0.000 0.000
0.500 0.500 0.000
0.351 0.851 0.000
0.851 0.649 0.000
0.649 0.149 0.000
0.149 0.351 0.000
0.168 0.668 0.500
0.668 0.832 0.500
0.832 0.332 0.500
0.332 0.168 0.500
```

* formation enthalpy at 0 K: 87 meV per atom
* DOS at the Fermi energy: 0.323 states/eV per atom
* E above lowest polymorph: 0.000 eV per atom
* space group: P4/mbm (127)
* final energy: -9.67 eV/f.u.

10.
Li2BeZn | PBE-GGA | relaxed

Structure (POSCAR):
```
Li2BeZn
1.0
-2.743 -0.517 0.581
0.373 -2.743 -0.682
1.636 -1.390 6.486
Be Li Zn
1 2 1
direct
0.500 0.500 0.724
0.000 0.000 0.958
0.500 0.500 0.277
0.000 0.000 0.541
```

* formation enthalpy at 0 K: 43 meV per atom
* DOS at the Fermi energy: 0.408 states/eV per atom
* E above lowest polymorph: 0.025 eV per atom
* space group: P4mm (99)
* final energy: -8.65 eV/f.u.

11.
LiBeZn4 | PBE-GGA | relaxed

Structure (POSCAR):
```
LiBeZn4
1.0
0.000 3.524 3.524
3.524 0.000 3.524
3.524 3.524 0.000
Li Be Zn
1 1 4
direct
0.000 0.000 0.000
0.750 0.750 0.750
0.874 0.375 0.375
0.375 0.375 0.874
0.375 0.874 0.375
0.375 0.375 0.375
```

* formation enthalpy at 0 K: 115 meV per atom
* DOS at the Fermi energy: 0.471 states/eV per atom
* space group: F-43m (216)
* final energy: -10.05 eV/f.u.

12.
LiBeZn3 | PBE-GGA | relaxed

Structure (POSCAR):
```
LiBeZn3
1.0
4.342 0.000 0.000
0.000 4.342 0.000
0.000 0.000 4.342
Be Zn Li
1 3 1
direct
0.500 0.500 0.500
0.000 0.500 0.000
0.000 0.000 0.500
0.500 0.000 0.000
0.000 0.000 0.000
```

* formation enthalpy at 0 K: 764 meV per atom
* DOS at the Fermi energy: 0.310 states/eV per atom
* E above lowest polymorph: 0.640 eV per atom
* space group: Pm-3m (221)
* final energy: -5.64 eV/f.u.

13.
LiBe2Zn | PBE-GGA | relaxed

Structure (POSCAR):
```
LiBe2Zn
1.0
-1.262 1.414 -3.436
0.455 -2.090 -1.027
-4.100 -2.192 0.604
Be Li Zn
2 1 1
direct
0.000 0.035 0.014
0.000 0.465 0.486
0.500 0.250 0.250
0.500 0.750 0.750
```

* formation enthalpy at 0 K: 126 meV per atom
* DOS at the Fermi energy: 0.142 states/eV per atom
* space group: P2/m (10)
* final energy: -10.14 eV/f.u.

14.
Li2BeZn2 | PBE-GGA | relaxed

Structure (POSCAR):
```
Li2BeZn2
1.0
6.777 0.000 0.000
0.000 6.777 0.000
0.000 0.000 2.885
Be Zn Li
2 4 4
direct
0.000 0.000 0.000
0.500 0.500 0.000
0.162 0.662 0.500
0.662 0.838 0.500
0.838 0.338 0.500
0.338 0.162 0.500
0.365 0.865 0.000
0.865 0.635 0.000
0.635 0.135 0.000
0.135 0.365 0.000
```

* formation enthalpy at 0 K: 202 meV per atom
* DOS at the Fermi energy: 0.203 states/eV per atom
* E above lowest polymorph: 0.115 eV per atom
* space group: P4/mbm (127)
* final energy: -9.09 eV/f.u.

15.
Li2BeZn | PBE-GGA | relaxed

Structure (POSCAR):
```
Li2BeZn
1.0
-2.430 -0.739 -3.622
-3.806 -1.519 -1.666
-2.324 4.348 0.100
Be Li Zn
1 2 1
direct
0.244 0.244 0.269
0.992 0.992 0.006
0.756 0.756 0.748
0.508 0.508 0.477
```

* formation enthalpy at 0 K: 61 meV per atom
* DOS at the Fermi energy: 0.291 states/eV per atom
* E above lowest polymorph: 0.042 eV per atom
* space group: Cm (8)
* final energy: -8.58 eV/f.u.

16.
LiBe2Zn | PBE-GGA | relaxed

Structure (POSCAR):
```
LiBe2Zn
1.0
3.838 0.000 0.000
0.000 2.393 -0.003
0.000 0.991 4.712
Be Li Zn
2 1 1
direct
0.000 0.993 0.023
0.500 0.262 0.232
0.000 0.474 0.492
0.500 0.771 0.754
```

* formation enthalpy at 0 K: 118 meV per atom
* DOS at the Fermi energy: 0.162 states/eV per atom
* space group: Pm (6)
* final energy: -10.17 eV/f.u.

17.
Li2BeZn | PBE-GGA | relaxed

Structure (POSCAR):
```
Li2BeZn
1.0
2.523 -0.050 0.000
-0.884 2.363 0.000
0.000 0.000 8.804
Be Li Zn
1 2 1
direct
0.500 0.500 0.750
0.000 0.000 0.987
0.000 0.000 0.513
0.500 0.500 0.250
```

* formation enthalpy at 0 K: 108 meV per atom
* DOS at the Fermi energy: 0.332 states/eV per atom
* E above lowest polymorph: 0.089 eV per atom
* space group: Cmmm (65)
* final energy: -8.40 eV/f.u.

18.
LiBe2Zn | PBE-GGA | relaxed

Structure (POSCAR):
```
LiBe2Zn
1.0
4.643 0.001 0.002
-2.115 4.140 -0.013
0.413 0.672 2.249
Be Li Zn
2 1 1
direct
0.000 0.000 0.000
0.500 0.000 0.500
0.000 0.500 0.500
0.500 0.500 0.000
```

* formation enthalpy at 0 K: 151 meV per atom
* DOS at the Fermi energy: 0.151 states/eV per atom
* space group: C2/m (12)
* final energy: -10.04 eV/f.u.

19.
LiBe2Zn | PBE-GGA | relaxed

Structure (POSCAR):
```
LiBe2Zn
1.0
4.029 0.000 0.000
0.000 4.029 0.000
2.015 2.015 8.040
Be Zn Li
4 2 2
direct
0.876 0.125 0.250
0.874 0.625 0.250
0.375 0.124 0.750
0.875 0.126 0.750
0.000 0.000 0.000
0.750 0.250 0.500
0.500 0.500 0.000
0.250 0.750 0.500
```

* formation enthalpy at 0 K: 459 meV per atom
* DOS at the Fermi energy: 0.353 states/eV per atom
* space group: I4_1/amd (141)
* final energy: -8.81 eV/f.u.

20.
LiBe2Zn | PBE-GGA | relaxed

Structure (POSCAR):
```
LiBe2Zn
1.0
8.496 0.001 0.001
8.128 2.472 0.001
8.128 1.209 2.156
Be Li Zn
2 1 1
direct
0.001 0.001 0.001
0.499 0.499 0.499
0.250 0.250 0.250
0.750 0.750 0.750
```

* formation enthalpy at 0 K: 264 meV per atom
* DOS at the Fermi energy: 0.380 states/eV per atom
* space group: R-3m (166)
* final energy: -9.59 eV/f.u.

21.
LiBe2Zn | PBE-GGA | relaxed

Structure (POSCAR):
```
LiBe2Zn
1.0
2.657 0.000 0.000
0.000 2.619 0.000
0.000 0.000 6.346
Be Li Zn
2 1 1
direct
0.000 0.000 0.034
0.500 0.500 0.213
0.000 0.000 0.477
0.500 0.500 0.776
```

* formation enthalpy at 0 K: 74 meV per atom
* DOS at the Fermi energy: 0.109 states/eV per atom
* space group: Pmm2 (25)
* final energy: -10.34 eV/f.u.

22.
Li2BeZn | PBE-GGA | relaxed

Structure (POSCAR):
```
Li2BeZn
1.0
4.819 -0.029 0.000
2.224 4.275 0.000
-3.522 -2.123 2.513
Be Li Zn
1 2 1
direct
0.750 0.250 0.500
0.000 0.000 0.000
0.500 0.500 0.000
0.250 0.750 0.500
```

* formation enthalpy at 0 K: 89 meV per atom
* DOS at the Fermi energy: 0.206 states/eV per atom
* E above lowest polymorph: 0.070 eV per atom
* space group: I4/mmm (139)
* final energy: -8.47 eV/f.u.

23.
LiBe2Zn | PBE-GGA | relaxed

Structure (POSCAR):
```
LiBe2Zn
1.0
2.740 0.000 0.000
0.000 3.927 0.000
0.000 0.000 3.953
Be Li Zn
2 1 1
direct
0.000 0.000 0.000
0.500 0.500 0.000
0.500 0.000 0.500
0.000 0.500 0.500
```

* formation enthalpy at 0 K: 138 meV per atom
* DOS at the Fermi energy: 0.097 states/eV per atom
* space group: Pmmm (47)
* final energy: -10.09 eV/f.u.

24.
Li4BeZn2 | PBE-GGA | relaxed

Structure (POSCAR):
```
Li4BeZn2
1.0
-0.103 -0.126 4.393
-3.040 -3.171 -0.162
3.184 -6.206 2.096
Be Zn Li
1 2 4
direct
0.000 0.000 0.000
0.606 0.606 0.788
0.394 0.394 0.212
0.814 0.814 0.372
0.186 0.186 0.628
0.000 0.500 0.000
0.500 0.000 0.000
```

* formation enthalpy at 0 K: 308 meV per atom
* DOS at the Fermi energy: 0.375 states/eV per atom
* space group: I4/mmm (139)
* final energy: -11.77 eV/f.u.

25.
LiBe2Zn | PBE-GGA | relaxed

Structure (POSCAR):
```
LiBe2Zn
1.0
-0.843 -2.991 -2.112
3.650 -0.508 -0.736
0.243 -1.793 2.441
Be Li Zn
2 1 1
direct
0.000 0.000 0.000
0.500 0.500 0.000
0.500 0.000 0.500
0.000 0.500 0.500
```

* formation enthalpy at 0 K: 155 meV per atom
* DOS at the Fermi energy: 0.316 states/eV per atom
* space group: P4/mmm (123)
* final energy: -10.02 eV/f.u.

26.
Li2BeZn | PBE-GGA | relaxed

Structure (POSCAR):
```
Li2BeZn
1.0
2.644 0.000 0.000
0.000 2.644 0.000
0.000 0.000 7.566
Be Li Zn
1 2 1
direct
0.500 0.500 0.750
0.000 0.000 0.985
0.000 0.000 0.515
0.500 0.500 0.250
```

* formation enthalpy at 0 K: 121 meV per atom
* DOS at the Fermi energy: 0.318 states/eV per atom
* E above lowest polymorph: 0.103 eV per atom
* space group: P4/mmm (123)
* final energy: -8.34 eV/f.u.

27.
Li2BeZn | PBE-GGA | relaxed

Structure (POSCAR):
```
Li2BeZn
1.0
-0.828 -0.642 -2.212
3.639 -1.067 -1.052
-0.948 -5.016 1.810
Be Li Zn
1 2 1
direct
0.500 0.500 0.729
0.000 0.000 0.986
0.500 0.500 0.260
0.000 0.000 0.525
```

* formation enthalpy at 0 K: 55 meV per atom
* DOS at the Fermi energy: 0.334 states/eV per atom
* E above lowest polymorph: 0.037 eV per atom
* space group: Pmm2 (25)
* final energy: -8.61 eV/f.u.

28.
Li2BeZn | PBE-GGA | relaxed

Structure (POSCAR):
```
Li2BeZn
1.0
-2.064 -0.144 -3.440
0.585 -2.376 -0.251
-4.043 -2.293 2.522
Be Li Zn
1 2 1
direct
0.500 0.797 0.734
0.000 0.059 0.991
0.500 0.176 0.254
0.000 0.468 0.521
```

* formation enthalpy at 0 K: 50 meV per atom
* DOS at the Fermi energy: 0.333 states/eV per atom
* E above lowest polymorph: 0.031 eV per atom
* space group: Pm (6)
* final energy: -8.63 eV/f.u.

29.
Li2BeZn | PBE-GGA | relaxed

Structure (POSCAR):
```
Li2BeZn
1.0
-2.476 2.711 -3.405
-4.981 -0.348 -0.382
3.905 1.065 2.948
Be Li Zn
1 2 1
direct
0.250 0.750 0.500
0.009 0.009 0.000
0.491 0.491 0.000
0.750 0.250 0.500
```

* formation enthalpy at 0 K: 74 meV per atom
* DOS at the Fermi energy: 0.264 states/eV per atom
* E above lowest polymorph: 0.055 eV per atom
* space group: Immm (71)
* final energy: -8.53 eV/f.u.